Entry 1:
The following is a GGA-PBE calculation of an optimized crystal structure of Ba2SrAs, from Alexandria.

The structure in POSCAR format:
```
Ba2SrAs
1.0
8.364 0.010 -0.021
7.310 4.064 -0.021
1.981 0.515 5.360
Sr As Ba
1 1 2
direct
0.588 0.588 0.412
0.246 0.246 0.254
0.914 0.914 0.086
0.752 0.752 0.748
```

## Properties
SG: Imm2, No. 44
electronic total energy: -12.5 eV for the cell shown
calculated volume: 45.495 A^3/atom
total magnetic moment: 0.00 μB/f.u.
formation energy: -582.9 meV per atom



Entry 2:
The following is a GGA-PBE calculation of an optimized crystal structure of La4Nd2Ge3O2, from Alexandria.

The structure in POSCAR format:
```
La4Nd2Ge3O2
1.0
-4.140 -0.125 -2.415
-2.397 -0.419 4.131
2.438 12.714 -0.078
La Nd Ge O
4 2 3 2
direct
0.419 0.919 0.837
0.919 0.419 0.837
0.081 0.581 0.163
0.581 0.081 0.163
0.299 0.299 0.597
0.701 0.701 0.403
0.000 0.000 0.000
0.176 0.176 0.353
0.824 0.824 0.647
0.395 0.395 0.790
0.605 0.605 0.210
```

## Properties
SG: I4/mmm, No. 139
electronic total energy: -69.4 eV for the cell shown
formation energy from raw total energies: -1.4927 eV per atom
calculated volume: 26.105 A^3/atom
total magnetic moment: 0.00 μB/f.u.



Entry 3:
The following is a GGA-PBE calculation of an optimized crystal structure of EuAlTlAg, from Alexandria.

The structure in POSCAR format:
```
EuAlTlAg
1.0
-1.737 4.815 -0.121
-3.493 1.548 3.408
1.313 3.289 3.698
Eu Tl Al Ag
1 1 1 1
direct
0.000 0.000 0.000
0.750 0.750 0.750
0.500 0.500 0.500
0.250 0.250 0.250
```

## Properties
SG: F-43m, No. 216
electronic total energy: -19.9 eV for the cell shown
calculated volume: 23.727 A^3/atom
total magnetic moment: 6.95 μB/f.u.
formation energy: -164.6 meV per atom



Entry 4:
The following is a GGA-PBE calculation of an optimized crystal structure of Sb2PN, from Alexandria.

The structure in POSCAR format:
```
Sb2PN
1.0
5.358 0.000 0.000
0.000 5.358 0.000
2.679 2.679 6.492
Sb N P
4 2 2
direct
0.550 0.125 0.250
0.200 0.625 0.250
0.375 0.450 0.750
0.875 0.800 0.750
0.500 0.500 0.000
0.250 0.750 0.500
0.000 0.000 0.000
0.750 0.250 0.500
```

## Properties
SG: I-42d, No. 122
electronic total energy: -38.8 eV for the cell shown
formation energy from raw total energies: 0.6421 eV per atom
calculated volume: 23.300 A^3/atom
total magnetic moment: 0.00 μB/f.u.



Entry 5:
The following is a GGA-PBE calculation of an optimized crystal structure of KCuBr2, from Alexandria.

The structure in POSCAR format:
```
KCuBr2
1.0
-5.250 2.039 -1.617
2.498 -4.777 2.298
-1.158 3.058 7.616
Br Cu K
2 1 1
direct
0.000 0.000 0.046
0.000 0.000 0.454
0.500 0.500 0.250
0.500 0.500 0.750
```

## Properties
SG: Cmmm, No. 65
electronic total energy: -11.6 eV for the cell shown
formation energy from raw total energies: -0.7608 eV per atom
calculated volume: 45.060 A^3/atom
total magnetic moment: 0.00 μB/f.u.



Entry 6:
The following is a GGA-PBE calculation of an optimized crystal structure of DyIn3Ni, from Alexandria.

The structure in POSCAR format:
```
DyIn3Ni
1.0
-1.908 -2.861 -2.599
-5.049 -2.776 6.763
-7.976 7.813 -2.748
Dy In Ni
4 12 4
direct
0.750 0.809 0.005
0.250 0.691 0.505
0.750 0.309 0.495
0.250 0.191 0.995
0.250 0.559 0.083
0.750 0.441 0.917
0.250 0.059 0.417
0.750 0.941 0.583
0.250 0.395 0.697
0.750 0.105 0.197
0.250 0.895 0.803
0.750 0.646 0.714
0.250 0.354 0.286
0.750 0.146 0.786
0.750 0.605 0.303
0.250 0.854 0.214
0.250 0.110 0.643
0.250 0.610 0.857
0.750 0.390 0.143
0.750 0.890 0.357
```

## Properties
SG: Pnma, No. 62
electronic total energy: -81.1 eV for the cell shown
calculated volume: 22.018 A^3/atom
total magnetic moment: 0.00 μB/f.u.
formation energy: -333.5 meV per atom